VASP calculation (PBE-GGA) on a geometry-optimized LaNd14Ho structure.

Cell: 7.3512 7.3512 10.4032 Å, 90.00 90.00 90.00°
With the nearest neighbours (Å) after each atom.
Space group P4/mmm (No. 123)
Asymmetric unit:
La 0.0000 0.0000 0.0000  12 Nd 3.68
Nd 0.0000 0.0000 0.5000  12 Nd 3.68-3.69
Nd 0.0000 0.5000 0.0000  8 Nd 3.67, 2 La 3.68, 2 Ho 3.68
Nd 0.0000 0.5000 0.5000  12 Nd 3.68
Nd 0.2516 0.2516 0.2492  10 Nd 3.65-3.70, 1 Ho 3.66, 1 La 3.68
Nd 0.5000 0.5000 0.5000  12 Nd 3.67-3.68
Ho 0.5000 0.5000 0.0000  12 Nd 3.66-3.68

Results
- Crystal system: tetragonal
- Total energy: -4.75 eV per atom
- Magnetization: 0.00 Bohr magnetons per cell
- Energy relative to the elements: 0.013 eV per atom